Compound: Li2SiOs
Source: Alexandria
Functional: PBE
Structure: relaxed

- Total moment: 0.0 μB/cell
- Formation energy from raw total energies: -1.9 kJ/mol of atoms
- Calculated volume: 52.3 Å³/cell
- Electronic total energy: -5.140 eV per atom

a = 3.5019 Å, b = 3.5019 Å, c = 4.2677 Å
α = 90.00°, β = 90.00°, γ = 90.00°
Atoms (fractional coordinates):
Li: 0.0000 0.5000 0.0000
Li: 0.5000 0.0000 0.0000
Si: 0.0000 0.0000 0.5000
Os: 0.5000 0.5000 0.5000

---

Compound: LiSiOs2
Source: Alexandria
Functional: PBE
Structure: relaxed

- Total moment: 0.0 μB/cell
- Formation energy from raw total energies: 12.9 kJ/mol of atoms
- Calculated volume: 53.3 Å³/cell
- Electronic total energy: -7.316 eV per atom

a = 4.9103 Å, b = 4.9103 Å, c = 2.6939 Å
α = 104.37°, β = 104.37°, γ = 113.13°
Atoms (fractional coordinates):
Li: 0.0000 0.0000 0.0000
Si: 0.5000 0.5000 0.0000
Os: 0.0000 0.5000 0.5000
Os: 0.5000 0.0000 0.5000

---

Compound: Li4SiOs2
Source: Alexandria
Functional: PBE
Structure: relaxed

- Total moment: 0.0 μB/cell
- Formation energy from raw total energies: 102.5 kJ/mol of atoms
- Calculated volume: 130.0 Å³/cell
- Electronic total energy: -4.015 eV per atom

a = 7.2554 Å, b = 7.2554 Å, c = 7.2554 Å
α = 144.20°, β = 144.20°, γ = 51.53°
Atoms (fractional coordinates):
Li: 0.0000 0.5000 0.5000
Li: 0.1890 0.1890 0.0000
Li: 0.5000 0.0000 0.5000
Li: 0.8110 0.8110 0.0000
Si: 0.0000 0.0000 0.0000
Os: 0.4135 0.4135 0.0000
Os: 0.5865 0.5865 0.0000

---

Compound: LiSiOs2
Source: Alexandria
Functional: PBE
Structure: relaxed

- Total moment: 0.0 μB/cell
- Formation energy from raw total energies: 0.9 kJ/mol of atoms
- Calculated volume: 52.0 Å³/cell
- Electronic total energy: -7.439 eV per atom

a = 5.0611 Å, b = 5.0611 Å, c = 5.0611 Å
α = 146.58°, β = 132.71°, γ = 59.14°
Atoms (fractional coordinates):
Li: 0.0000 0.0000 0.0000
Si: 0.7397 0.2397 0.5000
Os: 0.2633 0.7633 0.5000
Os: 0.5106 0.5106 0.0000